8
Lattice="8.736 0.000 0.000 0.000 3.016 0.000 -1.039 0.000 4.879" Properties=species:S:1:pos:R:3 comment="AlAg2P (PBEsol, optimized geometry)" dft_energy_ev_per_atom=-4.03 sg="C2/m (12)" magmom_total_mub_per_fu=0.0 de_polymorph_ev_per_fu=0.00 ef_ev_per_atom=0.10 pbc="T T T"
Al 0.000 0.000 0.000
Al 4.368 1.508 0.000
Ag 1.924 1.508 1.192
Ag 1.405 0.000 3.687
Ag 6.292 0.000 1.192
Ag 5.774 1.508 3.687
P -0.519 1.508 2.440
P 3.849 0.000 2.440



8
Lattice="4.921 0.000 0.000 0.000 3.433 0.000 0.000 0.000 11.638" Properties=species:S:1:pos:R:3 comment="ZrHgPb2 (PBEsol, optimized geometry)" dft_energy_ev_per_atom=-4.50 sg="Amm2 (38)" magmom_total_mub_per_fu=0.0 ef_ev_per_atom=-0.09 pbc="T T T"
Zr 0.000 0.000 0.000
Zr 0.000 1.716 5.819
Hg 2.460 0.000 9.874
Hg 2.460 1.716 4.055
Pb 0.000 0.000 3.123
Pb 0.000 1.716 8.942
Pb 2.460 0.000 6.707
Pb 2.460 1.716 0.889



16
Lattice="6.278 0.000 0.000 0.000 6.278 0.000 0.000 0.000 6.278" Properties=species:S:1:pos:R:3 comment="KFeSi2 (PBEsol, optimized geometry)" dft_energy_ev_per_atom=-4.57 sg="Fm-3m (225)" magmom_total_mub_per_fu=0.8 de_polymorph_ev_per_fu=3.24 formation_energy_uncorrected_ev_per_atom=0.8251 pbc="T T T"
K 0.000 0.000 0.000
K 0.000 3.139 3.139
K 3.139 0.000 3.139
K 3.139 3.139 0.000
Fe 0.000 0.000 3.139
Fe 0.000 3.139 0.000
Fe 3.139 0.000 0.000
Fe 3.139 3.139 3.139
Si 1.570 1.570 1.570
Si 1.570 1.570 4.709
Si 1.570 4.709 1.570
Si 1.570 4.709 4.709
Si 4.709 1.570 1.570
Si 4.709 1.570 4.709
Si 4.709 4.709 1.570
Si 4.709 4.709 4.709



8
Lattice="4.652 0.000 0.000 0.000 4.652 0.000 0.000 0.000 7.731" Properties=species:S:1:pos:R:3 comment="CdInAs2 (PBEsol, optimized geometry)" dft_energy_ev_per_atom=-3.38 sg="I4/mmm (139)" magmom_total_mub_per_fu=0.0 ef_ev_per_atom=0.22 pbc="T T T"
Cd 0.000 0.000 0.000
Cd 2.326 2.326 3.865
In 0.000 0.000 3.865
In 2.326 2.326 0.000
As 0.000 2.326 1.933
As 0.000 2.326 5.798
As 2.326 0.000 1.933
As 2.326 0.000 5.798



8
Lattice="5.574 0.000 0.000 0.000 7.724 0.000 -2.152 0.000 3.800" Properties=species:S:1:pos:R:3 comment="TlCoSe2 (PBEsol, optimized geometry)" dft_energy_ev_per_atom=-4.12 sg="C2/m (12)" magmom_total_mub_per_fu=1.6 formation_energy_uncorrected_ev_per_atom=0.3988 pbc="T T T"
Tl 0.000 0.000 0.000
Tl 2.787 3.862 0.000
Co 0.000 3.862 0.000
Co 2.787 0.000 0.000
Se 0.318 1.931 1.900
Se 0.318 5.793 1.900
Se 3.105 1.931 1.900
Se 3.105 5.793 1.900



10
Lattice="6.929 0.000 0.000 0.000 6.929 0.000 0.000 0.000 6.929" Properties=species:S:1:pos:R:3 comment="Ca4Tc (PBEsol, optimized geometry)" dft_energy_ev_per_atom=-3.38 sg="Im-3m (229)" magmom_total_mub_per_fu=0.0 ef_ev_per_atom=0.58 pbc="T T T"
Ca 1.732 1.732 1.732
Ca 1.732 1.732 5.197
Ca 1.732 5.197 1.732
Ca 1.732 5.197 5.197
Ca 5.197 1.732 1.732
Ca 5.197 1.732 5.197
Ca 5.197 5.197 1.732
Ca 5.197 5.197 5.197
Tc 0.000 0.000 0.000
Tc 3.465 3.465 3.465



32
Lattice="5.869 0.000 0.000 0.096 6.410 0.000 0.061 0.082 7.215" Properties=species:S:1:pos:R:3 comment="Li3VH16O12 (PBEsol, optimized geometry)" dft_energy_ev_per_atom=-5.51 sg="P1 (1)" magmom_total_mub_per_fu=0.0 de_polymorph_ev_per_fu=0.00 pbc="T T T"
Li 0.000 0.000 0.000
Li 0.623 4.014 3.536
Li 2.977 0.803 5.566
V 3.501 3.187 1.962
H 5.910 1.894 1.798
H 0.070 4.072 0.960
H 0.330 3.778 6.082
H 0.290 0.069 2.809
H 0.688 0.267 4.863
H 0.727 1.737 5.527
H 1.522 1.260 1.631
H 1.558 4.335 0.366
H 3.045 3.207 4.676
H 3.075 5.407 3.630
H 3.268 3.253 6.311
H 3.224 0.518 3.083
H 3.577 0.574 0.675
H 3.658 5.461 0.135
H 5.012 3.021 5.299
H 5.043 6.025 3.753
O 0.140 3.222 5.252
O 0.177 5.905 3.624
O 0.571 4.538 0.213
O 0.531 1.037 1.563
O 1.021 0.777 5.683
O 2.611 3.893 3.253
O 3.091 3.976 0.489
O 3.070 1.524 1.843
O 3.475 6.308 3.874
O 3.445 2.715 5.467
O 4.041 6.476 7.119
O 5.197 3.297 2.195



8
Lattice="4.470 0.000 0.000 0.000 4.470 0.000 0.000 0.000 6.292" Properties=species:S:1:pos:R:3 comment="ZrMn2Cd (PBEsol, optimized geometry)" dft_energy_ev_per_atom=-7.22 sg="I4/mmm (139)" magmom_total_mub_per_fu=4.2 ef_ev_per_atom=0.23 pbc="T T T"
Zr 0.000 0.000 0.000
Zr 2.235 2.235 3.146
Mn 0.000 2.235 1.573
Mn 0.000 2.235 4.719
Mn 2.235 0.000 1.573
Mn 2.235 0.000 4.719
Cd 0.000 0.000 3.146
Cd 2.235 2.235 0.000



12
Lattice="7.161 0.000 0.000 0.000 4.508 0.000 0.000 0.000 7.117" Properties=species:S:1:pos:R:3 comment="HoCoSn (PBEsol, optimized geometry)" dft_energy_ev_per_atom=-6.19 sg="Pnma (62)" magmom_total_mub_per_fu=0.0 ef_ev_per_atom=-0.54 pbc="T T T"
Ho 0.178 1.127 1.407
Ho 3.403 3.381 4.966
Ho 3.758 1.127 2.151
Ho 6.983 3.381 5.710
Co 1.096 3.381 3.149
Co 2.484 1.127 6.708
Co 4.677 3.381 0.410
Co 6.065 1.127 3.968
Sn 1.445 1.127 4.344
Sn 2.135 3.381 0.786
Sn 5.026 1.127 6.331
Sn 5.716 3.381 2.773



8
Lattice="8.720 0.000 0.000 0.000 4.046 0.000 -1.857 0.000 3.585" Properties=species:S:1:pos:R:3 comment="Cu2SbAu (PBEsol, optimized geometry)" dft_energy_ev_per_atom=-4.21 sg="C2/m (12)" magmom_total_mub_per_fu=0.0 formation_energy_uncorrected_ev_per_atom=0.0781 pbc="T T T"
Cu 1.716 0.000 0.894
Cu 0.787 2.023 2.691
Cu 5.147 0.000 2.691
Cu 6.076 2.023 0.894
Sb 0.000 2.023 0.000
Sb 4.360 0.000 0.000
Au -0.929 0.000 1.793
Au 3.432 2.023 1.793



15
Lattice="4.903 -2.889 0.000 4.903 2.889 0.000 -1.784 0.000 4.729" Properties=species:S:1:pos:R:3 comment="Li6Ti2O7 (PBEsol, optimized geometry)" dft_energy_ev_per_atom=-6.86 sg="C2/m (12)" magmom_total_mub_per_fu=0.0 de_polymorph_ev_per_fu=0.07 formation_energy_uncorrected_ev_per_atom=-2.5144 pbc="T T T"
Li 0.932 0.000 0.888
Li 3.176 1.294 1.079
Li 4.845 1.294 3.650
Li 3.176 -1.294 1.079
Li 4.845 -1.294 3.650
Li 7.089 0.000 3.841
Ti 2.263 0.000 3.494
Ti 5.758 0.000 1.235
O 1.559 1.445 2.365
O 0.707 0.000 4.494
O 4.903 1.324 0.000
O 1.559 -1.445 2.365
O 4.011 0.000 2.365
O 4.903 -1.324 0.000
O 7.314 0.000 0.235



8
Lattice="7.808 0.000 0.000 0.000 7.396 0.000 -0.694 0.000 2.636" Properties=species:S:1:pos:R:3 comment="Cd2SiP (PBEsol, optimized geometry)" dft_energy_ev_per_atom=-3.10 sg="C2/m (12)" magmom_total_mub_per_fu=0.0 de_polymorph_ev_per_fu=0.02 formation_energy_uncorrected_ev_per_atom=0.3834 pbc="T T T"
Cd 1.952 1.849 0.000
Cd 1.952 5.547 0.000
Cd 5.856 1.849 0.000
Cd 5.856 5.547 0.000
Si -0.347 0.000 1.318
Si 3.557 3.698 1.318
P -0.347 3.698 1.318
P 3.557 0.000 1.318



9
Lattice="6.877 0.000 0.000 -3.438 5.955 0.000 0.000 0.000 3.859" Properties=species:S:1:pos:R:3 comment="YAlNi (PBEsol, optimized geometry)" dft_energy_ev_per_atom=-6.30 sg="P-62m (189)" magmom_total_mub_per_fu=0.0 ef_ev_per_atom=-0.61 pbc="T T T"
Y -1.434 2.484 0.000
Y 2.868 0.000 0.000
Y 2.004 3.471 0.000
Al -2.629 4.554 1.929
Al 0.809 1.402 1.929
Al 5.258 0.000 1.929
Ni 0.000 0.000 0.000
Ni 0.000 3.970 1.929
Ni 3.438 1.985 1.929



16
Lattice="5.985 0.000 0.000 0.000 5.985 0.000 0.000 0.000 5.985" Properties=species:S:1:pos:R:3 comment="Si2BAs (PBEsol, optimized geometry)" dft_energy_ev_per_atom=-4.93 sg="Fm-3m (225)" magmom_total_mub_per_fu=0.0 de_polymorph_ev_per_fu=4.15 formation_energy_uncorrected_ev_per_atom=0.9696 pbc="T T T"
Si 1.496 1.496 1.496
Si 1.496 1.496 4.489
Si 1.496 4.489 1.496
Si 1.496 4.489 4.489
Si 4.489 1.496 1.496
Si 4.489 1.496 4.489
Si 4.489 4.489 1.496
Si 4.489 4.489 4.489
B 0.000 0.000 0.000
B 0.000 2.992 2.992
B 2.992 0.000 2.992
B 2.992 2.992 0.000
As 0.000 0.000 2.992
As 0.000 2.992 0.000
As 2.992 0.000 0.000
As 2.992 2.992 2.992



10
Lattice="4.654 0.000 0.000 0.000 4.654 0.000 0.000 0.000 11.751" Properties=species:S:1:pos:R:3 comment="TlAg2Sb2 (PBEsol, optimized geometry)" dft_energy_ev_per_atom=-3.61 sg="I4/mmm (139)" magmom_total_mub_per_fu=0.0 de_polymorph_ev_per_fu=0.00 formation_energy_uncorrected_ev_per_atom=0.0630 pbc="T T T"
Tl 0.000 0.000 0.000
Tl 2.327 2.327 5.875
Ag 0.000 2.327 2.938
Ag 0.000 2.327 8.813
Ag 2.327 0.000 2.938
Ag 2.327 0.000 8.813
Sb 0.000 0.000 4.469
Sb 0.000 0.000 7.282
Sb 2.327 2.327 1.407
Sb 2.327 2.327 10.344



64
Lattice="5.906 0.000 0.000 0.000 17.565 0.000 0.000 0.000 11.567" Properties=species:S:1:pos:R:3 comment="Na3VS2O2 (PBEsol, optimized geometry)" dft_energy_ev_per_atom=-5.77 sg="Pbca (61)" magmom_total_mub_per_fu=0.0 formation_energy_uncorrected_ev_per_atom=-1.6285 pbc="T T T"
Na 0.837 0.839 1.977
Na 0.837 7.943 7.760
Na 1.246 12.969 1.414
Na 1.246 13.379 7.198
Na 1.412 10.538 10.089
Na 1.412 15.809 4.305
Na 1.541 1.756 10.089
Na 1.541 7.027 4.305
Na 1.707 4.186 1.414
Na 1.707 4.596 7.198
Na 2.116 9.622 1.977
Na 2.116 16.726 7.760
Na 3.790 0.839 3.807
Na 3.790 7.943 9.591
Na 4.199 12.969 4.370
Na 4.199 13.379 10.153
Na 4.365 10.538 7.262
Na 4.365 15.809 1.478
Na 4.494 1.756 7.262
Na 4.494 7.027 1.478
Na 4.660 4.186 4.370
Na 4.660 4.596 10.153
Na 5.069 9.622 3.807
Na 5.069 16.726 9.591
V 0.984 1.973 5.114
V 0.984 6.810 10.897
V 1.969 10.755 5.114
V 1.969 15.593 10.897
V 3.937 1.973 0.670
V 3.937 6.810 6.453
V 4.922 10.755 0.670
V 4.922 15.593 6.453
S 1.201 12.626 4.299
S 1.201 13.721 10.082
S 1.358 10.587 7.222
S 1.358 15.761 1.438
S 1.594 1.804 7.222
S 1.594 6.978 1.438
S 1.752 3.844 4.299
S 1.752 4.939 10.082
S 4.154 12.626 1.485
S 4.154 13.721 7.269
S 4.311 10.587 10.129
S 4.311 15.761 4.345
S 4.547 1.804 10.129
S 4.547 6.978 4.345
S 4.705 3.844 1.485
S 4.705 4.939 7.269
O 0.692 10.816 0.725
O 0.692 15.531 6.509
O 1.416 9.460 4.193
O 1.416 16.888 9.977
O 1.537 0.677 4.193
O 1.537 8.106 9.977
O 2.261 2.034 0.725
O 2.261 6.749 6.509
O 3.645 10.816 5.058
O 3.645 15.531 10.842
O 4.369 9.460 1.590
O 4.369 16.888 7.374
O 4.490 0.677 1.590
O 4.490 8.106 7.374
O 5.214 2.034 5.058
O 5.214 6.749 10.842



8
Lattice="5.664 0.000 0.000 -2.832 4.905 0.000 0.000 0.000 4.607" Properties=species:S:1:pos:R:3 comment="LiAg3 (PBEsol, optimized geometry)" dft_energy_ev_per_atom=-3.10 sg="P6_3/mmc (194)" magmom_total_mub_per_fu=0.0 ef_ev_per_atom=-0.13 pbc="T T T"
Li 0.000 3.270 1.152
Li 2.832 1.635 3.456
Ag 0.000 1.648 3.456
Ag -1.405 4.081 3.456
Ag 1.427 0.824 1.152
Ag 1.405 4.081 3.456
Ag 4.237 0.824 1.152
Ag 2.832 3.257 1.152



8
Lattice="0.000 4.251 4.251 4.251 0.000 4.251 4.251 4.251 0.000" Properties=species:S:1:pos:R:3 comment="SbWN2 (PBEsol, optimized geometry)" dft_energy_ev_per_atom=-8.66 sg="Fd-3m (227)" magmom_total_mub_per_fu=0.0 formation_energy_uncorrected_ev_per_atom=0.1945 pbc="T T T"
Sb 1.063 1.063 1.063
Sb 7.439 7.439 7.439
W 3.188 3.188 3.188
W 5.314 5.314 5.314
N 4.251 2.125 2.125
N 2.125 4.251 2.125
N 2.125 2.125 4.251
N 4.251 4.251 4.251



9
Lattice="-3.382 3.382 1.632 3.382 -3.382 1.632 3.382 3.382 -1.632" Properties=species:S:1:pos:R:3 comment="LiBe8 (PBEsol, optimized geometry)" dft_energy_ev_per_atom=-3.67 sg="I4/mmm (139)" magmom_total_mub_per_fu=0.0 ef_ev_per_atom=0.10 pbc="T T T"
Li 0.000 0.000 0.000
Be 2.304 0.000 0.000
Be 4.459 0.000 0.000
Be 2.204 2.204 0.000
Be 1.177 -1.177 1.632
Be 0.000 2.304 0.000
Be 0.000 4.459 0.000
Be -1.177 1.177 1.632
Be 1.177 1.177 1.632